(1)
Ba4SrRh: optimized geometry, PBE-GGA.

The space group is C2/c (No. 15) and the conventional cell measures 19.758, 7.754 and 8.607 Å, with angles of 90.00, 106.59 and 90.00 degrees. The distinct sites, in fractional coordinates, are Ba at (0.104, 0.095, 0.449), Ba at (0.200, 0.424, 0.158), Sr at (0.000, 0.410, 0.750) and Rh at (0.250, 0.250, 0.500).

For the energy, the calculation gives -2.909 eV per atom. The value obtained for the volume is 52.66 Å³ per atom. The energy above the most stable polymorph in this dataset is 0.000 eV/atom. As for the formation energy: -0.121 eV/atom.

---

(2)
In2GeCl: optimized geometry, PBE-GGA.

The space group is Fm-3m (No. 225) and the conventional cell measures 7.254, 7.254 and 7.254 Å, with angles of 90.00, 90.00 and 90.00 degrees. The distinct sites, in fractional coordinates, are In at (0.250, 0.250, 0.250), Ge at (0.000, 0.000, 0.000) and Cl at (0.000, 0.000, 0.500).

For the energy, the calculation gives -3.083 eV per atom. As for the formation energy without anion corrections: -0.4 eV per formula unit. The value obtained for the volume is 23.86 Å³ per atom. The energy above the most stable polymorph in this dataset is 0.098 eV/atom.

---

(3)
Sr2Mg6Ag3: optimized geometry, PBE-GGA.

The space group is P-62m (No. 189) and the conventional cell measures 8.6081, 8.6081 and 4.5401 Å, with angles of 90.00, 90.00 and 120.00 degrees. The distinct sites, in fractional coordinates, are Sr at (0.3333, 0.6667, 0.0000), Mg at (0.0000, 0.2822, 0.5000), Mg at (0.0000, 0.7975, 0.0000) and Ag at (0.0000, 0.6128, 0.5000).

For the energy, the calculation gives -2.093 eV per atom. The value obtained for the volume is 26.49 Å³ per atom. As for the formation energy: -0.140 eV/atom.